Record 1
A relaxed structure of InAs2SeF. Source: Alexandria, functional PBE.

Calculated values
**Energy above the most stable polymorph in this dataset**: 49.4 kJ per mole of atoms
**DOS at the Fermi energy**: 4.6 states/eV per cell

```
InAs2SeF
1.0
5.317 0.000 0.000
0.000 5.317 0.000
0.000 0.000 5.218
In As Se F
1 2 1 1
direct
0.000 0.000 0.000
0.000 0.500 0.000
0.500 0.000 0.000
0.000 0.000 0.500
0.500 0.500 0.500
```



Record 2
A relaxed structure of InSnAsF2. Source: Alexandria, functional PBE.

Calculated values
**VASP energy**: -3.900 eV per atom
**DOS at the Fermi energy**: 2.0 states/eV per cell

```
InSnAsF2
1.0
4.403 0.000 0.000
0.000 4.403 0.000
0.000 0.000 5.700
In Sn As F
1 1 1 2
direct
0.000 0.000 0.000
0.500 0.500 0.000
0.500 0.500 0.500
0.000 0.500 0.500
0.500 0.000 0.500
```



Record 3
A relaxed structure of AsIrF2. Source: Alexandria, functional PBE.

Calculated values
**Energy above the most stable polymorph in this dataset**: 0.0 kJ per mole of atoms
**DOS at the Fermi energy**: 11.9 states/eV per cell

```
AsIrF2
1.0
2.769 0.000 0.000
-1.385 2.398 0.000
0.000 0.000 24.355
As Ir F
3 3 6
direct
0.000 0.000 0.000
0.333 0.667 0.667
0.667 0.333 0.333
0.000 0.000 0.500
0.333 0.667 0.167
0.667 0.333 0.833
0.000 0.000 0.418
0.000 0.000 0.582
0.333 0.667 0.084
0.333 0.667 0.249
0.667 0.333 0.751
0.667 0.333 0.916
```